(1)
DFT (PBE-GGA) results for a relaxed structure of Fe2IrRu.

Geometry as POSCAR:
```
Fe2IrRu
1.0
1.3341 0.7702 8.5244
-1.3341 0.7702 8.5244
0.0000 -1.5405 8.5244
Fe Ir Ru
2 1 1
direct
0.2504 0.2504 0.2504
0.7496 0.7496 0.7496
0.5000 0.5000 0.5000
0.0000 0.0000 0.0000
```

Computed properties:
**Total DFT energy (no corrections)**: -8.66 eV per atom

=====

(2)
DFT (PBE-GGA) results for a relaxed structure of Fe2Ir5Ru.

Geometry as POSCAR:
```
Fe2Ir5Ru
1.0
5.4030 0.0000 0.0000
0.0000 10.8034 0.0000
0.0000 0.0000 3.8117
Fe Ir Ru
4 10 2
direct
0.2470 0.1236 0.0000
0.2530 0.6236 0.0000
0.7470 0.3764 0.0000
0.7530 0.8764 0.0000
0.9996 0.2497 0.5000
0.0000 0.5000 0.5000
0.0004 0.7503 0.5000
0.2476 0.8761 0.0000
0.2524 0.3761 0.0000
0.5000 0.0000 0.5000
0.4996 0.2503 0.5000
0.5004 0.7497 0.5000
0.7476 0.6239 0.0000
0.7524 0.1239 0.0000
0.0000 0.0000 0.5000
0.5000 0.5000 0.5000
```

Computed properties:
**Total DFT energy (no corrections)**: -8.81 eV per atom

=====

(3)
DFT (PBE-GGA) results for a relaxed structure of FeIr6Ru2.

Geometry as POSCAR:
```
FeIr6Ru2
1.0
2.6486 1.5292 5.9067
-2.6486 1.5292 5.9067
0.0000 -3.0583 5.9067
Fe Ir Ru
1 6 2
direct
0.0000 0.0000 0.0000
0.0657 0.0657 0.5561
0.0657 0.5561 0.0657
0.2808 0.2808 0.7603
0.2808 0.7603 0.2808
0.5561 0.0657 0.0657
0.7603 0.2808 0.2807
0.6082 0.6082 0.6082
0.7354 0.7354 0.7354
```

Computed properties:
**Offset from the most stable computed form**: 456 meV per atom
**Total DFT energy (no corrections)**: -8.48 eV per atom

=====

Number 1: formation enthalpy at 0 K 0.105 eV/atom, total magnetization 4.5 Bohr magnetons per cell, N(E_F) 6.20 states/eV/f.u.. Number 2: formation enthalpy at 0 K 0.000 eV/atom, total magnetization 10.6 Bohr magnetons per cell, N(E_F) 11.04 states/eV/f.u.. Number 3: formation enthalpy at 0 K 0.434 eV/atom, total magnetization 1.9 Bohr magnetons per cell, N(E_F) 9.81 states/eV/f.u..